[1]
DFT (PBE) results for Pr5Tm4Tl4 after structural relaxation.

Summary:
- Space group: I4/m, No. 87
- DFT total energy: -4.19 eV/atom
- Calculated formation energy: -0.245 eV/atom

Lattice parameters (Å, degrees): 9.365 9.365 9.365 94.10 94.10 149.00
Positions (direct):
Pr: 0.000 0.000 0.000
Pr: 0.304 0.609 0.913
Pr: 0.391 0.304 0.696
Pr: 0.609 0.696 0.304
Pr: 0.696 0.391 0.087
Tm: 0.094 0.404 0.498
Tm: 0.404 0.906 0.311
Tm: 0.596 0.094 0.689
Tm: 0.906 0.596 0.502
Tl: 0.090 0.758 0.848
Tl: 0.242 0.090 0.331
Tl: 0.758 0.910 0.669
Tl: 0.910 0.242 0.152


[2]
DFT (PBE) results for PrTm4Tl after structural relaxation.

Summary:
- Relative energy among the computed polymorphs: 0.204 eV/atom
- Space group: Cmc2_1, No. 36
- DFT total energy: -4.07 eV/atom
- Calculated formation energy: 0.107 eV/atom

Lattice parameters (Å, degrees): 11.406 11.406 6.721 90.00 90.00 152.71
Positions (direct):
Pr: 0.128 0.872 0.500
Pr: 0.872 0.128 0.000
Tm: 0.141 0.859 0.993
Tm: 0.275 0.725 0.253
Tm: 0.303 0.697 0.751
Tm: 0.452 0.548 0.699
Tm: 0.548 0.452 0.199
Tm: 0.697 0.303 0.251
Tm: 0.725 0.275 0.753
Tm: 0.859 0.141 0.493
Tl: 0.413 0.587 0.255
Tl: 0.587 0.413 0.755


[3]
DFT (PBE) results for PrTm3Tl after structural relaxation.

Summary:
- Relative energy among the computed polymorphs: 0.218 eV/atom
- Space group: P6_3/mmc, No. 194
- DFT total energy: -4.00 eV/atom
- Calculated formation energy: 0.116 eV/atom

Lattice parameters (Å, degrees): 7.939 7.939 6.102 90.00 90.00 120.00
Positions (direct):
Pr: 0.333 0.667 0.250
Pr: 0.667 0.333 0.750
Tm: 0.194 0.387 0.750
Tm: 0.194 0.806 0.750
Tm: 0.387 0.194 0.250
Tm: 0.613 0.806 0.750
Tm: 0.806 0.194 0.250
Tm: 0.806 0.613 0.250
Tl: 0.000 0.000 0.000
Tl: 0.000 0.000 0.500


Which of these has the lowest calculated formation energy? Pr5Tm4Tl4


Among the records above, which one has the highest DFT total energy? PrTm3Tl